1.
DFT (PBE) results for Y2Zn2Ni5Ge after structural relaxation.

Cell: 9.3793 9.3793 3.4708 Å, 90.00 90.00 90.00°
Last column: nearest neighbours and their distance in Å.
Fractional coordinates of all 20 atoms:
Y: 0.1779 0.3221 0.0000  3 Zn 2.68-2.85, 2 Ni 2.93
Y: 0.3221 0.8221 0.0000  3 Zn 2.68-2.85, 2 Ni 2.93
Y: 0.6779 0.1779 0.0000  3 Zn 2.68-2.85, 2 Ni 2.93
Y: 0.8221 0.6779 0.0000  3 Zn 2.68-2.85, 2 Ni 2.93
Zn: 0.1202 0.6202 0.0000  6 Ni 2.36-2.50
Zn: 0.3798 0.1202 0.0000  6 Ni 2.36-2.50
Zn: 0.6202 0.8798 0.0000  6 Ni 2.36-2.50
Zn: 0.8798 0.3798 0.0000  6 Ni 2.36-2.50
Ni: 0.0000 0.5000 0.5000  4 Zn 2.36
Ni: 0.0553 0.8014 0.5000  2 Zn 2.50, 2 Ge 2.60, 2 Ni 2.73
Ni: 0.1986 0.0553 0.5000  2 Zn 2.50, 2 Ge 2.60, 2 Ni 2.73
Ni: 0.3014 0.5553 0.5000  2 Zn 2.50, 2 Ge 2.60, 2 Ni 2.73
Ni: 0.4447 0.3014 0.5000  2 Zn 2.50, 2 Ge 2.60, 2 Ni 2.73
Ni: 0.5000 0.0000 0.5000  4 Zn 2.36
Ni: 0.5553 0.6986 0.5000  2 Zn 2.50, 2 Ge 2.60, 2 Ni 2.73
Ni: 0.6986 0.4447 0.5000  2 Zn 2.50, 2 Ge 2.60, 2 Ni 2.73
Ni: 0.8014 0.9447 0.5000  2 Zn 2.50, 2 Ge 2.60, 2 Ni 2.73
Ni: 0.9447 0.1986 0.5000  2 Zn 2.50, 2 Ge 2.60, 2 Ni 2.73
Ge: 0.0000 0.0000 0.0000  8 Ni 2.60
Ge: 0.5000 0.5000 0.0000  8 Ni 2.60

Computed properties:
Its formation energy is -2.85 eV/f.u. The calculation puts the density of states at the Fermi level at 12.06 states/eV per cell.

2.
DFT (PBE) results for Zn2Ni2Ge after structural relaxation.

Cell: 3.9964 3.9964 5.0642 Å, 90.00 90.00 120.00°
Last column: nearest neighbours and their distance in Å.
Fractional coordinates of all 5 atoms:
Zn: 0.3333 0.6667 0.1239  5 Ni 2.51-2.63, 3 Zn 2.63
Zn: 0.6667 0.3333 0.8761  5 Ni 2.51-2.63, 3 Zn 2.63
Ni: 0.3333 0.6667 0.6281  3 Ge 2.40, 5 Zn 2.51-2.63, 3 Ni 2.65
Ni: 0.6667 0.3333 0.3719  3 Ge 2.40, 5 Zn 2.51-2.63, 3 Ni 2.65
Ge: 0.0000 0.0000 0.5000  6 Ni 2.40

Computed properties:
For the offset from the most stable computed form, the calculation gives 0.00 eV/f.u. Its formation energy is -1.16 eV/f.u. The calculation puts the density of states at the Fermi level at 1.95 states/eV per cell.

3.
DFT (PBE) results for Zn2Ni2Ge after structural relaxation.

Cell: 6.1208 6.1208 3.6581 Å, 90.00 90.00 90.00°
Last column: nearest neighbours and their distance in Å.
Fractional coordinates of all 10 atoms:
Zn: 0.1518 0.3482 0.0000  6 Ni 2.52-2.59, 1 Zn 2.63
Zn: 0.3482 0.8482 0.0000  6 Ni 2.52-2.59, 1 Zn 2.63
Zn: 0.6518 0.1518 0.0000  6 Ni 2.52-2.59, 1 Zn 2.63
Zn: 0.8482 0.6518 0.0000  6 Ni 2.52-2.59, 1 Zn 2.63
Ni: 0.1487 0.6487 0.5000  2 Ge 2.34, 6 Zn 2.52-2.59, 1 Ni 2.57
Ni: 0.3513 0.1487 0.5000  2 Ge 2.34, 6 Zn 2.52-2.59, 1 Ni 2.57
Ni: 0.6487 0.8513 0.5000  2 Ge 2.34, 6 Zn 2.52-2.59, 1 Ni 2.57
Ni: 0.8513 0.3513 0.5000  2 Ge 2.34, 6 Zn 2.52-2.59, 1 Ni 2.57
Ge: 0.0000 0.0000 0.5000  4 Ni 2.34
Ge: 0.5000 0.5000 0.5000  4 Ni 2.34

Computed properties:
For the offset from the most stable computed form, the calculation gives 0.44 eV/f.u. Its formation energy is -0.72 eV/f.u. The calculation puts the density of states at the Fermi level at 4.42 states/eV per cell.

4.
DFT (PBE) results for ZnNi2Ge2 after structural relaxation.

Cell: 6.7468 6.7468 3.1126 Å, 90.00 90.00 90.00°
Last column: nearest neighbours and their distance in Å.
Fractional coordinates of all 10 atoms:
Zn: 0.0000 0.0000 0.0000  4 Ni 2.61
Zn: 0.5000 0.5000 0.0000  4 Ni 2.61
Ni: 0.1384 0.3616 0.0000  6 Ge 2.48-2.54, 2 Zn 2.61, 1 Ni 2.64
Ni: 0.3616 0.8616 0.0000  6 Ge 2.48-2.54, 2 Zn 2.61, 1 Ni 2.64
Ni: 0.6384 0.1384 0.0000  6 Ge 2.48-2.54, 2 Zn 2.61, 1 Ni 2.64
Ni: 0.8616 0.6384 0.0000  6 Ge 2.48-2.54, 2 Zn 2.61, 1 Ni 2.64
Ge: 0.1592 0.6592 0.5000  6 Ni 2.48-2.54
Ge: 0.3408 0.1592 0.5000  6 Ni 2.48-2.54
Ge: 0.6592 0.8408 0.5000  6 Ni 2.48-2.54
Ge: 0.8408 0.3408 0.5000  6 Ni 2.48-2.54

Computed properties:
Its formation energy is -0.32 eV/f.u. The calculation puts the density of states at the Fermi level at 5.46 states/eV per cell.

5.
DFT (PBE) results for ZnNiGe after structural relaxation.

Cell: 4.0099 4.0099 4.0099 Å, 60.00 60.00 60.00°
Last column: nearest neighbours and their distance in Å.
Fractional coordinates of all 3 atoms:
Zn: 0.0000 0.0000 0.0000  4 Ni 2.46
Ni: 0.7500 0.7500 0.7500  4 Ge 2.46, 4 Zn 2.46
Ge: 0.5000 0.5000 0.5000  4 Ni 2.46

Computed properties:
Its formation energy is -0.49 eV/f.u. The calculation puts the density of states at the Fermi level at 2.53 states/eV per cell.

6.
DFT (PBE) results for ZnNi2Ge after structural relaxation.

Cell: 4.1126 4.1126 4.1126 Å, 60.00 60.00 60.00°
Last column: nearest neighbours and their distance in Å.
Fractional coordinates of all 4 atoms:
Zn: 0.0000 0.0000 0.0000  8 Ni 2.52
Ni: 0.2500 0.2500 0.2500  4 Ge 2.52, 4 Zn 2.52
Ni: 0.7500 0.7500 0.7500  4 Ge 2.52, 4 Zn 2.52
Ge: 0.5000 0.5000 0.5000  8 Ni 2.52

Computed properties:
For the offset from the most stable computed form, the calculation gives 0.00 eV/f.u. Its formation energy is -0.91 eV/f.u. The calculation puts the density of states at the Fermi level at 2.21 states/eV per cell.

7.
DFT (PBE) results for Zn5Ni12Ge2 after structural relaxation.

Cell: 6.7190 6.7190 5.8437 Å, 90.98 90.98 62.17°
Last column: nearest neighbours and their distance in Å.
Fractional coordinates of all 19 atoms:
Zn: 0.0000 0.0000 0.0000  10 Ni 2.49-2.69, 2 Zn 2.77
Zn: 0.2386 0.2386 0.0777  10 Ni 2.46-2.66, 1 Zn 2.62
Zn: 0.2958 0.2958 0.5134  8 Ni 2.43-2.71, 1 Zn 2.62
Zn: 0.7042 0.7042 0.4866  8 Ni 2.43-2.71, 1 Zn 2.62
Zn: 0.7614 0.7614 0.9223  10 Ni 2.46-2.66, 1 Zn 2.62
Ni: 0.0313 0.6543 0.2509  1 Ge 2.40, 3 Zn 2.49-2.66, 5 Ni 2.50-2.62
Ni: 0.0934 0.0934 0.3872  2 Ge 2.36, 3 Zn 2.43-2.49, 5 Ni 2.54-2.58
Ni: 0.1838 0.5770 0.8492  5 Ni 2.43-2.62, 1 Ge 2.49, 4 Zn 2.53-2.66
Ni: 0.3457 0.9687 0.7491  1 Ge 2.40, 3 Zn 2.49-2.66, 5 Ni 2.50-2.62
Ni: 0.4230 0.8162 0.1508  5 Ni 2.43-2.62, 1 Ge 2.49, 4 Zn 2.53-2.66
Ni: 0.4464 0.4464 0.1874  2 Ge 2.42, 7 Ni 2.43-2.54, 2 Zn 2.46-2.60
Ni: 0.5536 0.5536 0.8126  2 Ge 2.42, 7 Ni 2.43-2.54, 2 Zn 2.46-2.60
Ni: 0.5770 0.1838 0.8492  5 Ni 2.43-2.62, 1 Ge 2.49, 4 Zn 2.53-2.66
Ni: 0.6543 0.0313 0.2509  1 Ge 2.40, 3 Zn 2.49-2.66, 5 Ni 2.50-2.62
Ni: 0.8162 0.4230 0.1508  5 Ni 2.43-2.62, 1 Ge 2.49, 4 Zn 2.53-2.66
Ni: 0.9066 0.9066 0.6128  2 Ge 2.36, 3 Zn 2.43-2.49, 5 Ni 2.54-2.58
Ni: 0.9687 0.3457 0.7491  1 Ge 2.40, 3 Zn 2.49-2.66, 5 Ni 2.50-2.62
Ge: 0.2861 0.7139 0.5000  8 Ni 2.36-2.49
Ge: 0.7139 0.2861 0.5000  8 Ni 2.36-2.49

Computed properties:
Its formation energy is -2.27 eV/f.u. The calculation puts the density of states at the Fermi level at 12.79 states/eV per cell.

8.
DFT (PBE) results for Zn2Ni8Ge3 after structural relaxation.

Cell: 9.1190 9.1190 9.1190 Å, 30.48 30.48 30.48°
Last column: nearest neighbours and their distance in Å.
Fractional coordinates of all 13 atoms:
Zn: 0.1307 0.1307 0.1307  4 Ni 2.38-2.45
Zn: 0.8693 0.8693 0.8693  4 Ni 2.38-2.45
Ni: 0.2193 0.2193 0.7205  4 Ni 2.39-2.40, 3 Ge 2.44-2.51, 1 Zn 2.45
Ni: 0.2193 0.7205 0.2193  4 Ni 2.39-2.40, 3 Ge 2.44-2.51, 1 Zn 2.45
Ni: 0.2221 0.2221 0.2221  1 Ge 2.28, 1 Zn 2.38
Ni: 0.2795 0.7807 0.7807  4 Ni 2.39-2.40, 3 Ge 2.44-2.51, 1 Zn 2.45
Ni: 0.7205 0.2193 0.2193  4 Ni 2.39-2.40, 3 Ge 2.44-2.51, 1 Zn 2.45
Ni: 0.7779 0.7779 0.7779  1 Ge 2.28, 1 Zn 2.38
Ni: 0.7807 0.2795 0.7807  4 Ni 2.39-2.40, 3 Ge 2.44-2.51, 1 Zn 2.45
Ni: 0.7807 0.7807 0.2795  4 Ni 2.39-2.40, 3 Ge 2.44-2.51, 1 Zn 2.45
Ge: 0.3095 0.3095 0.3095  10 Ni 2.28-2.51
Ge: 0.5000 0.5000 0.5000  6 Zn 2.92, 12 Ni 3.12-3.27
Ge: 0.6905 0.6905 0.6905  10 Ni 2.28-2.51

Computed properties:
Its formation energy is 0.33 eV/f.u. The calculation puts the density of states at the Fermi level at 9.70 states/eV per cell.

9.
DFT (PBE) results for ZnNi4Ge2 after structural relaxation.

Cell: 5.0433 6.2040 6.7277 Å, 107.35 109.35 103.61°
Last column: nearest neighbours and their distance in Å.
Fractional coordinates of all 14 atoms:
Zn: 0.0000 0.0000 0.0000  8 Ni 2.43-2.70, 2 Ge 2.59-2.65
Zn: 0.2485 0.8068 0.4792  7 Ni 2.46-2.69, 1 Ge 2.71
Ni: 0.1481 0.6343 0.0464  4 Ge 2.39-2.55, 2 Ni 2.56-2.58, 2 Zn 2.61-2.62
Ni: 0.2160 0.1763 0.4255  4 Ge 2.46-2.54, 2 Zn 2.46-2.47, 3 Ni 2.59-2.70
Ni: 0.2910 0.2405 0.8447  3 Ge 2.42-2.52, 1 Zn 2.53, 4 Ni 2.56-2.61
Ni: 0.4443 0.8880 0.8927  3 Zn 2.47-2.74, 3 Ge 2.49-2.52, 5 Ni 2.56-2.76
Ni: 0.7226 0.1794 0.7353  3 Ge 2.38-2.52, 2 Zn 2.51-2.58, 3 Ni 2.59-2.62
Ni: 0.7393 0.7134 0.1697  3 Ge 2.31-2.43, 1 Zn 2.51, 2 Ni 2.53-2.56
Ni: 0.8181 0.7772 0.5863  3 Ge 2.43-2.50, 2 Zn 2.43-2.49, 2 Ni 2.59-2.62
Ni: 0.8533 0.3480 0.2062  4 Ge 2.52-2.61, 5 Ni 2.53-2.81, 2 Zn 2.60-2.69
Ge: 0.0446 0.4695 0.6378  7 Ni 2.45-2.53, 3 Ge 2.61-2.74
Ge: 0.4066 0.4338 0.2494  7 Ni 2.39-2.61, 1 Zn 2.59
Ge: 0.5993 0.0320 0.3156  6 Ni 2.31-2.55
Ge: 0.6192 0.5408 0.7770  7 Ni 2.33-2.52, 1 Ge 2.61

Computed properties:
For the offset from the most stable computed form, the calculation gives 0.26 eV/f.u. Its formation energy is -1.19 eV/f.u. The calculation puts the density of states at the Fermi level at 7.40 states/eV per cell.

10.
DFT (PBE) results for ZnNiGe after structural relaxation.

Cell: 4.0995 4.0995 2.9488 Å, 90.00 90.00 120.00°
Last column: nearest neighbours and their distance in Å.
Fractional coordinates of all 3 atoms:
Zn: 0.0000 0.0000 0.0000  6 Ge 2.79, 6 Ni 2.79, 2 Zn 2.95
Ni: 0.3333 0.6667 0.5000  3 Ge 2.37
Ge: 0.6667 0.3333 0.5000  3 Ni 2.37

Computed properties:
Its formation energy is 0.00 eV/f.u. The calculation puts the density of states at the Fermi level at 1.38 states/eV per cell.

11.
DFT (PBE) results for ZnNiGe2 after structural relaxation.

Cell: 5.2862 5.2862 5.2862 Å, 44.33 44.33 44.33°
Last column: nearest neighbours and their distance in Å.
Fractional coordinates of all 4 atoms:
Zn: 0.0000 0.0000 0.0000  1 Ni 2.49, 6 Ge 2.67-2.78
Ni: 0.8256 0.8256 0.8256  6 Ge 2.48, 1 Zn 2.49
Ge: 0.2241 0.2241 0.2241  3 Ni 2.48, 3 Zn 2.78
Ge: 0.4286 0.4286 0.4286  3 Ni 2.48, 3 Zn 2.67

Computed properties:
Its formation energy is -0.06 eV/f.u. The calculation puts the density of states at the Fermi level at 1.95 states/eV per cell.